CsYN2O: relaxed, GGA-PBE.

Cell lengths 4.622, 4.622, 4.482 Å; angles 90.00, 90.00, 90.00 degrees
Element x y z (fractional)
Cs 0.500 0.500 0.500
Y 0.000 0.000 0.000
N 0.000 0.500 0.000
N 0.500 0.000 0.000
O 0.000 0.000 0.500

Results
Raw total energy: -5.89 eV per atom
Raw formation energy: -0.1075 eV/atom
Space-group type: No. 123

***

CsYNO2: relaxed, GGA-PBE.

Cell lengths 4.370, 4.370, 4.765 Å; angles 90.00, 90.00, 90.00 degrees
Element x y z (fractional)
O 0.500 0.000 0.000
O 0.000 0.500 0.000
Y 0.500 0.500 0.500
N 0.000 0.000 0.500
Cs 0.000 0.000 0.000

Results
Raw total energy: -4.66 eV per atom
Raw formation energy: 0.4542 eV/atom
Space-group type: No. 123

***

CsYNO2: relaxed, GGA-PBE.

Cell lengths 4.527, 4.527, 4.752 Å; angles 90.00, 90.00, 90.00 degrees
Element x y z (fractional)
N 0.000 0.000 0.500
Cs 0.500 0.500 0.500
O 0.000 0.500 0.000
O 0.500 0.000 0.000
Y 0.000 0.000 0.000

Results
Raw total energy: -6.13 eV per atom
Raw formation energy: -1.0176 eV/atom
Space-group type: No. 123

***

CsYN2O: relaxed, GGA-PBE.

Cell lengths 4.398, 4.398, 4.347 Å; angles 90.00, 90.00, 90.00 degrees
Element x y z (fractional)
Cs 0.000 0.000 0.000
N 0.000 0.500 0.000
N 0.500 0.000 0.000
O 0.000 0.000 0.500
Y 0.500 0.500 0.500

Results
Raw total energy: -4.64 eV per atom
Raw formation energy: 1.1429 eV/atom
Space-group type: No. 123